This record from the Alexandria database describes a geometry-optimized Er6SnP2S3 structure. The functional is GGA-PBE.

a b c (Å): 3.9581 8.0542 8.9299
angles (deg): 102.55 102.80 90.00
Fractional positions:
Er  0.3270  0.9035  0.6540
Er  0.6705  0.5784  0.3411
Er  0.6730  0.0965  0.3460
Er  0.0028  0.2693  0.0057
Er  0.9972  0.7307  0.9943
Er  0.3295  0.4216  0.6589
Sn  0.5000  0.0000  0.0000
P  0.8322  0.6638  0.6644
P  0.1678  0.3362  0.3356
S  0.5000  0.5000  0.0000
S  0.8339  0.1684  0.6677
S  0.1661  0.8316  0.3323

Values from the calculation:
Formation energy without anion corrections (eV per atom): -1.62

This record from the Alexandria database describes a geometry-optimized CeLuGe structure. The functional is GGA-PBE.

a b c (Å): 4.1060 4.7439 4.7439
angles (deg): 120.00 90.00 90.00
Fractional positions:
Ge  0.2100  0.3333  0.6667
Lu  0.1382  0.0000  0.0000
Ce  0.6518  0.6667  0.3333

Values from the calculation:
E_form (eV per atom): -0.3382

This record from the Alexandria database describes a geometry-optimized CdNiIr2 structure. The functional is GGA-PBE.

a b c (Å): 4.8618 4.8618 4.7415
angles (deg): 77.32 77.32 33.11
Fractional positions:
Cd  0.2500  0.2500  0.2500
Ir  0.0159  0.0159  0.9783
Ir  0.4841  0.4841  0.5217
Ni  0.7500  0.7500  0.7500

Values from the calculation:
E_form (eV per atom): 0.1354

This record from the Alexandria database describes a geometry-optimized GdPuMg2 structure. The functional is GGA-PBE.

a b c (Å): 5.3764 5.3764 5.3764
angles (deg): 60.00 60.00 60.00
Fractional positions:
Mg  0.2500  0.2500  0.2500
Mg  0.7500  0.7500  0.7500
Gd  0.5000  0.5000  0.5000
Pu  0.0000  0.0000  0.0000

Values from the calculation:
Energy above the lowest structure with this stoichiometry (meV per atom): 0
E_form (eV per atom): 0.0863

This record from the Alexandria database describes a geometry-optimized Pb2W structure. The functional is GGA-PBE.

a b c (Å): 5.8356 5.8356 11.1628
angles (deg): 90.00 90.00 120.00
Fractional positions:
Pb  0.0000  0.0000  0.0000
Pb  0.0000  0.0000  0.5000
Pb  0.8312  0.6624  0.2500
Pb  0.1688  0.3376  0.7500
Pb  0.3376  0.1688  0.2500
Pb  0.8312  0.1688  0.2500
Pb  0.1688  0.8312  0.7500
Pb  0.6624  0.8312  0.7500
W  0.3333  0.6667  0.9719
W  0.6667  0.3333  0.4719
W  0.6667  0.3333  0.0281
W  0.3333  0.6667  0.5281

Values from the calculation:
Energy above the lowest structure with this stoichiometry (meV per atom): 1082
E_form (eV per atom): 1.6645

This record from the Alexandria database describes a geometry-optimized Ca4PmRh2 structure. The functional is GGA-PBE.

a b c (Å): 6.3819 8.1979 8.0574
angles (deg): 112.35 90.00 90.00
Fractional positions:
Ca  0.5008  0.4204  0.7655
Ca  0.2500  0.2663  0.3407
Ca  0.7500  0.7337  0.6593
Ca  0.9992  0.4204  0.7655
Ca  0.7500  0.0222  0.3847
Ca  0.0008  0.5796  0.2345
Ca  0.4992  0.5796  0.2345
Ca  0.2500  0.9778  0.6153
Rh  0.2500  0.2317  0.9753
Rh  0.7500  0.7683  0.0247
Rh  0.7500  0.3673  0.3947
Rh  0.2500  0.6327  0.6053
Pm  0.2500  0.8534  0.9735
Pm  0.7500  0.1466  0.0265

Values from the calculation:
E_form (eV per atom): -0.3152

This record from the Alexandria database describes a geometry-optimized Hg2PtBr8 structure. The functional is GGA-PBE.

a b c (Å): 7.2863 6.8062 13.5898
angles (deg): 125.67 90.00 122.36
Fractional positions:
Hg  0.9065  0.8129  0.5824
Hg  0.0935  0.1870  0.4176
Pt  0.0000  0.0000  0.0000
Br  0.7066  0.8783  0.0855
Br  0.1717  0.8783  0.0855
Br  0.2934  0.1217  0.9145
Br  0.3775  0.7551  0.5328
Br  0.8283  0.1217  0.9145
Br  0.8051  0.6102  0.2911
Br  0.1949  0.3898  0.7089
Br  0.6225  0.2449  0.4672

Values from the calculation:
Energy above the lowest structure with this stoichiometry (meV per atom): 101
Formation energy without anion corrections (eV per atom): -0.23

This record from the Alexandria database describes a geometry-optimized LiCaTlF6 structure. The functional is GGA-PBE.

a b c (Å): 5.0824 5.0824 10.2655
angles (deg): 90.00 90.00 90.00
Fractional positions:
Li  0.5000  0.5000  0.5002
Li  0.0000  0.0000  0.0002
Ca  0.5000  0.5000  0.1668
Ca  0.0000  0.0000  0.6668
Tl  0.5000  0.5000  0.8343
Tl  0.0000  0.0000  0.3343
F  0.2036  0.7964  0.4950
F  0.7964  0.2036  0.4950
F  0.2964  0.2964  0.9950
F  0.7036  0.7036  0.9950
F  0.1858  0.8142  0.1631
F  0.8142  0.1858  0.1631
F  0.3142  0.3142  0.6631
F  0.6858  0.6858  0.6631
F  0.8061  0.1939  0.8412
F  0.1939  0.8061  0.8412
F  0.6939  0.6939  0.3412
F  0.3061  0.3061  0.3412

Values from the calculation:
Formation energy without anion corrections (eV per atom): -2.77